# 1
The following is a PBE calculation of LaZnOF2 after structural relaxation, from the Alexandria database.

The structure in CIF format:
```
data_LaZnOF2
_symmetry_space_group_name_H-M 'P 1'
_symmetry_Int_Tables_number 1
_symmetry_space_group_name_Hall 'P 1'
_cell_length_a 4.7155
_cell_length_b 4.7155
_cell_length_c 4.6335
_cell_angle_alpha 90.00
_cell_angle_beta 90.00
_cell_angle_gamma 90.00
loop_
_atom_site_label
_atom_site_type_symbol
_atom_site_fract_x
_atom_site_fract_y
_atom_site_fract_z
Zn1 Zn 0.5000 0.5000 0.5000
F1 F 0.0000 0.5000 0.0000
F2 F 0.5000 0.0000 0.0000
O1 O 0.0000 0.0000 0.5000
La1 La 0.0000 0.0000 0.0000
```

Summary:
total magnetic moment = 0.98 Bohr magnetons per cell
volume = 103 Å³/f.u.
polymorph energy (0 for the lowest one) = 0.0 meV per atom
ΔE_f (raw) = -2.404 eV/atom

---

# 2
The following is a PBE calculation of LaZrOF2 after structural relaxation, from the Alexandria database.

The structure in CIF format:
```
data_LaZrOF2
_symmetry_space_group_name_H-M 'P 1'
_symmetry_Int_Tables_number 1
_symmetry_space_group_name_Hall 'P 1'
_cell_length_a 4.9144
_cell_length_b 3.8813
_cell_length_c 4.9144
_cell_angle_alpha 90.00
_cell_angle_beta 90.00
_cell_angle_gamma 90.00
loop_
_atom_site_label
_atom_site_type_symbol
_atom_site_fract_x
_atom_site_fract_y
_atom_site_fract_z
F1 F 0.0000 0.0000 0.5000
F2 F 0.5000 0.0000 0.0000
O1 O 0.0000 0.0000 0.0000
Zr1 Zr 0.0000 0.5000 0.0000
La1 La 0.5000 0.5000 0.5000
```

Summary:
total magnetic moment = 0.00 Bohr magnetons per cell
volume = 94 Å³/f.u.
polymorph energy (0 for the lowest one) = 282.8 meV per atom
ΔE_f (raw) = -1.735 eV/atom

---

# 3
The following is a PBE calculation of LaZrOF2 after structural relaxation, from the Alexandria database.

The structure in CIF format:
```
data_LaZrOF2
_symmetry_space_group_name_H-M 'P 1'
_symmetry_Int_Tables_number 1
_symmetry_space_group_name_Hall 'P 1'
_cell_length_a 4.6634
_cell_length_b 4.6634
_cell_length_c 4.7027
_cell_angle_alpha 90.00
_cell_angle_beta 90.00
_cell_angle_gamma 90.00
loop_
_atom_site_label
_atom_site_type_symbol
_atom_site_fract_x
_atom_site_fract_y
_atom_site_fract_z
F1 F 0.0000 0.5000 0.0000
F2 F 0.5000 0.0000 0.0000
O1 O 0.0000 0.0000 0.5000
Zr1 Zr 0.5000 0.5000 0.5000
La1 La 0.0000 0.0000 0.0000
```

Summary:
total magnetic moment = 2.90 Bohr magnetons per cell
volume = 102 Å³/f.u.
polymorph energy (0 for the lowest one) = 0.0 meV per atom
ΔE_f (raw) = -2.017 eV/atom

---

# 4
The following is a PBE calculation of LaOs3F after structural relaxation, from the Alexandria database.

The structure in CIF format:
```
data_LaOs3F
_symmetry_space_group_name_H-M 'P 1'
_symmetry_Int_Tables_number 1
_symmetry_space_group_name_Hall 'P 1'
_cell_length_a 4.4252
_cell_length_b 4.4252
_cell_length_c 4.4252
_cell_angle_alpha 90.00
_cell_angle_beta 90.00
_cell_angle_gamma 90.00
loop_
_atom_site_label
_atom_site_type_symbol
_atom_site_fract_x
_atom_site_fract_y
_atom_site_fract_z
F1 F 0.0000 0.0000 0.0000
Os1 Os 0.0000 0.5000 0.0000
Os2 Os 0.0000 0.0000 0.5000
Os3 Os 0.5000 0.0000 0.0000
La1 La 0.5000 0.5000 0.5000
```

Summary:
total magnetic moment = 0.00 Bohr magnetons per cell
volume = 87 Å³/f.u.
polymorph energy (0 for the lowest one) = 0.0 meV per atom
ΔE_f (raw) = 1.103 eV/atom

---

# 5
The following is a PBE calculation of La3OsF after structural relaxation, from the Alexandria database.

The structure in CIF format:
```
data_La3OsF
_symmetry_space_group_name_H-M 'P 1'
_symmetry_Int_Tables_number 1
_symmetry_space_group_name_Hall 'P 1'
_cell_length_a 4.9419
_cell_length_b 4.9419
_cell_length_c 4.9419
_cell_angle_alpha 90.00
_cell_angle_beta 90.00
_cell_angle_gamma 90.00
loop_
_atom_site_label
_atom_site_type_symbol
_atom_site_fract_x
_atom_site_fract_y
_atom_site_fract_z
F1 F 0.0000 0.0000 0.0000
Os1 Os 0.5000 0.5000 0.5000
La1 La 0.0000 0.5000 0.0000
La2 La 0.0000 0.0000 0.5000
La3 La 0.5000 0.0000 0.0000
```

Summary:
total magnetic moment = 0.00 Bohr magnetons per cell
volume = 121 Å³/f.u.
polymorph energy (0 for the lowest one) = 0.0 meV per atom
ΔE_f (raw) = -0.650 eV/atom

---

# 6
The following is a PBE calculation of LaOs2F after structural relaxation, from the Alexandria database.

The structure in CIF format:
```
data_LaOs2F
_symmetry_space_group_name_H-M 'P 1'
_symmetry_Int_Tables_number 1
_symmetry_space_group_name_Hall 'P 1'
_cell_length_a 4.6469
_cell_length_b 4.6469
_cell_length_c 4.6469
_cell_angle_alpha 60.00
_cell_angle_beta 60.00
_cell_angle_gamma 60.00
loop_
_atom_site_label
_atom_site_type_symbol
_atom_site_fract_x
_atom_site_fract_y
_atom_site_fract_z
F1 F 0.0000 0.0000 0.0000
Os1 Os 0.2500 0.2500 0.2500
Os2 Os 0.7500 0.7500 0.7500
La1 La 0.5000 0.5000 0.5000
```

Summary:
total magnetic moment = 2.26 Bohr magnetons per cell
volume = 71 Å³/f.u.
polymorph energy (0 for the lowest one) = 608.8 meV per atom
ΔE_f (raw) = 1.007 eV/atom

---

# 7
The following is a PBE calculation of LaOs3F after structural relaxation, from the Alexandria database.

The structure in CIF format:
```
data_LaOs3F
_symmetry_space_group_name_H-M 'P 1'
_symmetry_Int_Tables_number 1
_symmetry_space_group_name_Hall 'P 1'
_cell_length_a 4.9798
_cell_length_b 4.9798
_cell_length_c 4.9798
_cell_angle_alpha 90.00
_cell_angle_beta 90.00
_cell_angle_gamma 90.00
loop_
_atom_site_label
_atom_site_type_symbol
_atom_site_fract_x
_atom_site_fract_y
_atom_site_fract_z
F1 F 0.5000 0.5000 0.5000
Os1 Os 0.0000 0.5000 0.0000
Os2 Os 0.0000 0.0000 0.5000
Os3 Os 0.5000 0.0000 0.0000
La1 La 0.0000 0.0000 0.0000
```

Summary:
total magnetic moment = 5.74 Bohr magnetons per cell
volume = 123 Å³/f.u.
polymorph energy (0 for the lowest one) = 1794.2 meV per atom
ΔE_f (raw) = 2.897 eV/atom

---

# 8
The following is a PBE calculation of LaOsF2 after structural relaxation, from the Alexandria database.

The structure in CIF format:
```
data_LaOsF2
_symmetry_space_group_name_H-M 'P 1'
_symmetry_Int_Tables_number 1
_symmetry_space_group_name_Hall 'P 1'
_cell_length_a 4.1764
_cell_length_b 4.1764
_cell_length_c 8.5451
_cell_angle_alpha 75.86
_cell_angle_beta 75.86
_cell_angle_gamma 90.00
loop_
_atom_site_label
_atom_site_type_symbol
_atom_site_fract_x
_atom_site_fract_y
_atom_site_fract_z
F1 F 0.6646 0.1250 0.2500
F2 F 0.0854 0.6250 0.2500
F3 F 0.3750 0.3354 0.7500
F4 F 0.8750 0.9146 0.7500
Os1 Os 0.0000 0.0000 0.0000
Os2 Os 0.7500 0.2500 0.5000
La1 La 0.5000 0.5000 0.0000
La2 La 0.2500 0.7500 0.5000
```

Summary:
total magnetic moment = 2.28 Bohr magnetons per cell
volume = 70 Å³/f.u.
polymorph energy (0 for the lowest one) = 0.0 meV per atom
ΔE_f (raw) = -1.132 eV/atom

---

# 9
The following is a PBE calculation of LaOs2F after structural relaxation, from the Alexandria database.

The structure in CIF format:
```
data_LaOs2F
_symmetry_space_group_name_H-M 'P 1'
_symmetry_Int_Tables_number 1
_symmetry_space_group_name_Hall 'P 1'
_cell_length_a 4.6824
_cell_length_b 4.6824
_cell_length_c 8.7479
_cell_angle_alpha 74.48
_cell_angle_beta 74.48
_cell_angle_gamma 90.00
loop_
_atom_site_label
_atom_site_type_symbol
_atom_site_fract_x
_atom_site_fract_y
_atom_site_fract_z
F1 F 0.5000 0.5000 0.0000
F2 F 0.2500 0.7500 0.5000
Os1 Os 0.3327 0.1250 0.2500
Os2 Os 0.4173 0.6250 0.2500
Os3 Os 0.3750 0.6673 0.7500
Os4 Os 0.8750 0.5827 0.7500
La1 La 0.0000 0.0000 0.0000
La2 La 0.7500 0.2500 0.5000
```

Summary:
total magnetic moment = 0.00 Bohr magnetons per cell
volume = 89 Å³/f.u.
polymorph energy (0 for the lowest one) = 0.0 meV per atom
ΔE_f (raw) = 0.398 eV/atom

---

# 10
The following is a PBE calculation of LaOsF2 after structural relaxation, from the Alexandria database.

The structure in CIF format:
```
data_LaOsF2
_symmetry_space_group_name_H-M 'P 1'
_symmetry_Int_Tables_number 1
_symmetry_space_group_name_Hall 'P 1'
_cell_length_a 4.6455
_cell_length_b 4.6455
_cell_length_c 4.6455
_cell_angle_alpha 58.66
_cell_angle_beta 58.66
_cell_angle_gamma 58.66
loop_
_atom_site_label
_atom_site_type_symbol
_atom_site_fract_x
_atom_site_fract_y
_atom_site_fract_z
F1 F 0.7776 0.7776 0.7776
F2 F 0.2224 0.2224 0.2224
Os1 Os 0.5000 0.5000 0.5000
La1 La 0.0000 0.0000 0.0000
```

Summary:
total magnetic moment = 3.00 Bohr magnetons per cell
volume = 69 Å³/f.u.
polymorph energy (0 for the lowest one) = 72.9 meV per atom
ΔE_f (raw) = -1.059 eV/atom

---

# 11
The following is a PBE calculation of LaOsF2 after structural relaxation, from the Alexandria database.

The structure in CIF format:
```
data_LaOsF2
_symmetry_space_group_name_H-M 'P 1'
_symmetry_Int_Tables_number 1
_symmetry_space_group_name_Hall 'P 1'
_cell_length_a 8.0249
_cell_length_b 8.0249
_cell_length_c 8.0249
_cell_angle_alpha 22.01
_cell_angle_beta 22.01
_cell_angle_gamma 22.01
loop_
_atom_site_label
_atom_site_type_symbol
_atom_site_fract_x
_atom_site_fract_y
_atom_site_fract_z
F1 F 0.9105 0.9105 0.9105
F2 F 0.0895 0.0895 0.0895
Os1 Os 0.0000 0.0000 0.0000
La1 La 0.5000 0.5000 0.5000
```

Summary:
total magnetic moment = 0.97 Bohr magnetons per cell
volume = 64 Å³/f.u.
polymorph energy (0 for the lowest one) = 30.7 meV per atom
ΔE_f (raw) = -1.101 eV/atom

---

# 12
The following is a PBE calculation of LaOsPt2F after structural relaxation, from the Alexandria database.

The structure in CIF format:
```
data_LaOsPt2F
_symmetry_space_group_name_H-M 'P 1'
_symmetry_Int_Tables_number 1
_symmetry_space_group_name_Hall 'P 1'
_cell_length_a 5.0035
_cell_length_b 4.0933
_cell_length_c 5.0035
_cell_angle_alpha 90.00
_cell_angle_beta 90.00
_cell_angle_gamma 90.00
loop_
_atom_site_label
_atom_site_type_symbol
_atom_site_fract_x
_atom_site_fract_y
_atom_site_fract_z
F1 F 0.0000 0.5000 0.0000
Os1 Os 0.0000 0.0000 0.0000
Pt1 Pt 0.0000 0.0000 0.5000
Pt2 Pt 0.5000 0.0000 0.0000
La1 La 0.5000 0.5000 0.5000
```

Summary:
total magnetic moment = 0.00 Bohr magnetons per cell
volume = 102 Å³/f.u.
ΔE_f (raw) = -0.437 eV/atom

---

# 13
The following is a PBE calculation of La2OsRhF after structural relaxation, from the Alexandria database.

The structure in CIF format:
```
data_La2OsRhF
_symmetry_space_group_name_H-M 'P 1'
_symmetry_Int_Tables_number 1
_symmetry_space_group_name_Hall 'P 1'
_cell_length_a 5.0086
_cell_length_b 4.1272
_cell_length_c 5.0086
_cell_angle_alpha 90.00
_cell_angle_beta 90.00
_cell_angle_gamma 90.00
loop_
_atom_site_label
_atom_site_type_symbol
_atom_site_fract_x
_atom_site_fract_y
_atom_site_fract_z
Rh1 Rh 0.0000 0.5000 0.0000
F1 F 0.0000 0.0000 0.0000
Os1 Os 0.5000 0.5000 0.5000
La1 La 0.0000 0.0000 0.5000
La2 La 0.5000 0.0000 0.0000
```

Summary:
total magnetic moment = 0.00 Bohr magnetons per cell
volume = 104 Å³/f.u.
ΔE_f (raw) = -0.573 eV/atom

---

# 14
The following is a PBE calculation of LaSnOsF2 after structural relaxation, from the Alexandria database.

The structure in CIF format:
```
data_LaSnOsF2
_symmetry_space_group_name_H-M 'P 1'
_symmetry_Int_Tables_number 1
_symmetry_space_group_name_Hall 'P 1'
_cell_length_a 4.3519
_cell_length_b 5.3832
_cell_length_c 4.3519
_cell_angle_alpha 90.00
_cell_angle_beta 90.00
_cell_angle_gamma 90.00
loop_
_atom_site_label
_atom_site_type_symbol
_atom_site_fract_x
_atom_site_fract_y
_atom_site_fract_z
F1 F 0.0000 0.0000 0.5000
F2 F 0.5000 0.0000 0.0000
Os1 Os 0.0000 0.5000 0.0000
Sn1 Sn 0.0000 0.0000 0.0000
La1 La 0.5000 0.5000 0.5000
```

Summary:
total magnetic moment = 0.44 Bohr magnetons per cell
volume = 102 Å³/f.u.
ΔE_f (raw) = -1.103 eV/atom